[1]
# Ho2UCo2

A relaxed Ho2UCo2 crystal (GGA-PBE, the Alexandria database).

Unit cell a=10.336 b=5.961 c=6.775 alpha=90.00 beta=100.71 gamma=90.00
Space group C2/c (No. 15)
Unique sites:
Ho (0.151, 0.106, 0.145) x8
U (0.000, 0.428, 0.750) x4
Co (0.146, 0.374, 0.515) x8

Summary:
N(E_F) = 25.52 states/eV per cell
M_tot = 0.00 μB/atom
energy relative to the elements = -0.23 eV/atom
volume = 103 Å³/f.u.

---

[2]
# ErAlSi2Ir5

A relaxed ErAlSi2Ir5 crystal (GGA-PBE, the Alexandria database).

Unit cell a=4.013 b=4.013 c=10.144 alpha=90.00 beta=90.00 gamma=90.00
Space group P4/mmm (No. 123)
Unique sites:
Er (0.000, 0.000, 0.000) x1
Al (0.000, 0.000, 0.500) x1
Si (0.500, 0.500, 0.228) x2
Ir (0.000, 0.500, 0.350) x4
Ir (0.500, 0.500, 0.000) x1

Summary:
N(E_F) = 7.27 states/eV per cell
M_tot = 0.00 μB/atom
volume = 163 Å³/f.u.
energy relative to the elements, uncorrected = -0.46 eV per atom

---

[3]
# CePm2Dy4Tm

A relaxed CePm2Dy4Tm crystal (GGA-PBE, the Alexandria database).

Unit cell a=6.153 b=3.561 c=11.796 alpha=90.00 beta=100.16 gamma=90.00
Space group P2/m (No. 10)
Unique sites:
Ce (0.000, 0.000, 0.000) x1
Pm (0.000, 0.500, 0.500) x1
Pm (0.500, 0.000, 0.500) x1
Dy (0.245, 0.500, 0.245) x2
Dy (0.249, 0.000, 0.754) x2
Tm (0.500, 0.500, 0.000) x1

Summary:
N(E_F) = 13.45 states/eV per cell
M_tot = 0.10 μB/atom
energy relative to the elements = 0.04 eV/atom
volume = 254 Å³/f.u.

---

[4]
# Ho2MnGe3Rh4

A relaxed Ho2MnGe3Rh4 crystal (GGA-PBE, the Alexandria database).

Unit cell a=4.090 b=4.090 c=10.559 alpha=90.00 beta=90.00 gamma=90.00
Space group P-4m2 (No. 115)
Unique sites:
Ho (0.000, 0.500, 0.248) x2
Mn (0.000, 0.000, 0.500) x1
Ge (0.000, 0.500, 0.869) x2
Ge (0.500, 0.500, 0.500) x1
Rh (0.000, 0.000, 0.000) x1
Rh (0.000, 0.500, 0.640) x2
Rh (0.500, 0.500, 0.000) x1

Summary:
N(E_F) = 5.41 states/eV per cell
M_tot = 0.35 μB/atom
energy relative to the elements = -0.77 eV/atom
volume = 177 Å³/f.u.

---

[5]
# LiSb2As2

A relaxed LiSb2As2 crystal (GGA-PBE, the Alexandria database).

Unit cell a=4.264 b=4.264 c=14.527 alpha=90.00 beta=90.00 gamma=90.00
Space group I4/mmm (No. 139)
Unique sites:
Li (0.000, 0.000, 0.000) x2
Sb (0.000, 0.500, 0.250) x4
As (0.000, 0.000, 0.419) x4

Summary:
N(E_F) = 5.45 states/eV per cell
M_tot = 0.00 μB/atom
volume = 132 Å³/f.u.
energy relative to the elements, uncorrected = 0.11 eV per atom

---

[6]
# CsSn2Os

A relaxed CsSn2Os crystal (GGA-PBE, the Alexandria database).

Unit cell a=7.167 b=7.167 c=13.921 alpha=90.00 beta=90.00 gamma=90.00
Space group I4_1/amd (No. 141, origin choice 2)
Unique sites:
Cs (0.000, 0.250, 0.375) x4
Sn (0.000, 0.000, 0.000) x8
Os (0.000, 0.250, 0.875) x4

Summary:
N(E_F) = 5.73 states/eV per cell
M_tot = 0.00 μB/atom
energy relative to the elements = 0.22 eV/atom
volume = 179 Å³/f.u.

---

[7]
# Mg2PaCuO6

A relaxed Mg2PaCuO6 crystal (GGA-PBE, the Alexandria database).

Unit cell a=5.683 b=5.683 c=4.414 alpha=90.00 beta=90.00 gamma=90.00
Space group P4mm (No. 99)
Unique sites:
Mg (0.000, 0.500, 0.000) x2
Pa (0.000, 0.000, 0.704) x1
Cu (0.500, 0.500, 0.771) x1
O (0.000, 0.000, 0.235) x1
O (0.258, 0.258, 0.824) x4
O (0.500, 0.500, 0.300) x1

Summary:
N(E_F) = 5.06 states/eV per cell
M_tot = 0.12 μB/atom
volume = 143 Å³/f.u.
energy relative to the elements, uncorrected = -1.95 eV per atom

---

[8]
# NdBiPtAu

A relaxed NdBiPtAu crystal (GGA-PBE, the Alexandria database).

Unit cell a=7.202 b=7.202 c=7.202 alpha=90.00 beta=90.00 gamma=90.00
Space group F-43m (No. 216)
Unique sites:
Nd (0.000, 0.000, 0.000) x4
Bi (0.000, 0.000, 0.500) x4
Pt (0.250, 0.250, 0.750) x4
Au (0.250, 0.250, 0.250) x4

Summary:
N(E_F) = 9.84 states/eV per cell
M_tot = 0.00 μB/atom
energy relative to the elements = -0.65 eV/atom
volume = 93 Å³/f.u.

---

[9]
# LuSbPt

A relaxed LuSbPt crystal (GGA-PBE, the Alexandria database).

Unit cell a=3.877 b=3.877 c=8.868 alpha=90.00 beta=90.00 gamma=90.00
Space group I4mm (No. 107)
Unique sites:
Lu (0.000, 0.000, 0.000) x2
Sb (0.000, 0.000, 0.672) x2
Pt (0.000, 0.000, 0.359) x2

Summary:
N(E_F) = 3.53 states/eV per cell
M_tot = 0.00 μB/atom
volume = 67 Å³/f.u.
energy relative to the elements, uncorrected = -0.69 eV per atom

---

[10]
# Rb2H2I

A relaxed Rb2H2I crystal (GGA-PBE, the Alexandria database).

Unit cell a=9.901 b=9.901 c=5.814 alpha=90.00 beta=90.00 gamma=90.00
Space group P4/mbm (No. 127)
Unique sites:
Rb (0.200, 0.300, 0.000) x4
H (0.027, 0.527, 0.500) x4
I (0.000, 0.000, 0.000) x2

Summary:
VASP energy = -2.480 eV/atom
N(E_F) = 4.40 states/eV per cell
M_tot = 0.00 μB/atom
volume = 285 Å³/f.u.

---

[11]
# Mn2TlSe

A relaxed Mn2TlSe crystal (GGA-PBE, the Alexandria database).

Unit cell a=3.197 b=4.494 c=10.886 alpha=90.00 beta=90.00 gamma=90.00
Space group Imm2 (No. 44)
Unique sites:
Mn (0.000, 0.000, 0.000) x2
Mn (0.000, 0.500, 0.276) x2
Tl (0.000, 0.000, 0.451) x2
Se (0.000, 0.500, 0.681) x2

Summary:
N(E_F) = 3.61 states/eV per cell
M_tot = 1.81 μB/atom
volume = 78 Å³/f.u.
energy relative to the elements, uncorrected = 0.24 eV per atom

---

[12]
# RbMoAsBr2

A relaxed RbMoAsBr2 crystal (GGA-PBE, the Alexandria database).

Unit cell a=6.260 b=6.260 c=6.303 alpha=90.00 beta=90.00 gamma=90.00
Space group P4/mmm (No. 123)
Unique sites:
Rb (0.000, 0.000, 0.000) x1
Mo (0.500, 0.500, 0.500) x1
As (0.000, 0.000, 0.500) x1
Br (0.000, 0.500, 0.000) x2

Summary:
N(E_F) = 0.92 states/eV per cell
M_tot = 0.39 μB/atom
volume = 247 Å³/f.u.
energy relative to the elements, uncorrected = 1.09 eV per atom

---

[13]
# BaSbSe2

A relaxed BaSbSe2 crystal (GGA-PBE, the Alexandria database).

Unit cell a=3.863 b=3.863 c=7.501 alpha=90.00 beta=90.00 gamma=90.00
Space group P4/mmm (No. 123)
Unique sites:
Ba (0.000, 0.000, 0.000) x1
Sb (0.000, 0.000, 0.500) x1
Se (0.500, 0.500, 0.268) x2

Summary:
N(E_F) = 2.96 states/eV per cell
M_tot = 0.00 μB/atom
volume = 112 Å³/f.u.
energy relative to the elements, uncorrected = -0.67 eV per atom

---

[14]
# LiPPb

A relaxed LiPPb crystal (GGA-PBE, the Alexandria database).

Unit cell a=4.966 b=5.035 c=10.781 alpha=90.00 beta=90.00 gamma=90.00
Space group Fmm2 (No. 42)
Unique sites:
Li (0.000, 0.000, 0.000) x4
P (0.000, 0.000, 0.619) x4
Pb (0.000, 0.000, 0.264) x4

Summary:
N(E_F) = 5.91 states/eV per cell
M_tot = 0.00 μB/atom
energy relative to the elements = -0.01 eV/atom
volume = 67 Å³/f.u.

---

[15]
# AcMgAg2Ge2

A relaxed AcMgAg2Ge2 crystal (GGA-PBE, the Alexandria database).

Unit cell a=4.5244 b=4.5244 c=7.5130 alpha=90.00 beta=90.00 gamma=120.00
Space group P-3m1 (No. 164)
Unique sites:
Ac (0.0000, 0.0000, 0.0000) x1
Mg (0.0000, 0.0000, 0.5000) x1
Ag (0.3333, 0.6667, 0.6624) x2
Ge (0.3333, 0.6667, 0.2600) x2

Summary:
N(E_F) = 1.78 states/eV per cell
M_tot = 0.00 μB/atom
energy relative to the elements = -0.41 eV/atom
volume = 133 Å³/f.u.

---

[16]
# La2HfTl3Te6

A relaxed La2HfTl3Te6 crystal (GGA-PBE, the Alexandria database).

Unit cell a=7.773 b=13.407 c=8.593 alpha=90.00 beta=107.49 gamma=90.00
Space group C2/m (No. 12)
Unique sites:
La (0.000, 0.165, 0.000) x4
Hf (0.000, 0.500, 0.000) x2
Tl (0.000, 0.000, 0.500) x2
Tl (0.000, 0.325, 0.500) x4
Te (0.223, 0.347, 0.214) x8
Te (0.230, 0.500, 0.778) x4

Summary:
N(E_F) = 10.85 states/eV per cell
M_tot = 0.00 μB/atom
volume = 427 Å³/f.u.
energy relative to the elements, uncorrected = -0.92 eV per atom

---

[17]
# ZrHgRu3

A relaxed ZrHgRu3 crystal (GGA-PBE, the Alexandria database).

Unit cell a=4.822 b=4.822 c=4.822 alpha=90.00 beta=90.00 gamma=90.00
Space group Pm-3m (No. 221)
Unique sites:
Zr (0.000, 0.000, 0.000) x1
Hg (0.500, 0.500, 0.500) x1
Ru (0.000, 0.000, 0.500) x3

Summary:
N(E_F) = 4.99 states/eV per cell
M_tot = 0.72 μB/atom
energy relative to the elements = 1.52 eV/atom
volume = 112 Å³/f.u.

---

[18]
# Th2Pd17

A relaxed Th2Pd17 crystal (GGA-PBE, the Alexandria database).

Unit cell a=9.1627 b=9.1627 c=13.6310 alpha=90.00 beta=90.00 gamma=120.00
Space group R-3m (No. 166, hexagonal axes)
Unique sites:
Th (0.0000, 0.0000, 0.1744) x6
Pd (0.0000, 0.0000, 0.3972) x6
Pd (0.0000, 0.3090, 0.5000) x18
Pd (0.0000, 0.5000, 0.0000) x9
Pd (0.0061, 0.5031, 0.6548) x18

Summary:
N(E_F) = 67.84 states/eV per cell
M_tot = 0.00 μB/atom
energy relative to the elements = -0.39 eV/atom
volume = 330 Å³/f.u.

---

[19]
# SrLa4Ga4

A relaxed SrLa4Ga4 crystal (GGA-PBE, the Alexandria database).

Unit cell a=9.638 b=9.638 c=6.310 alpha=90.00 beta=90.00 gamma=90.00
Space group P4_2/n (No. 86, origin choice 2)
Unique sites:
Sr (0.250, 0.250, 0.250) x2
La (0.074, 0.655, 0.116) x8
Ga (0.026, 0.607, 0.610) x8

Summary:
N(E_F) = 14.69 states/eV per cell
M_tot = 0.00 μB/atom
energy relative to the elements = -0.35 eV/atom
volume = 293 Å³/f.u.

---

[20]
# Pm5HoPt6

A relaxed Pm5HoPt6 crystal (GGA-PBE, the Alexandria database).

Unit cell a=16.053 b=7.058 c=5.060 alpha=90.00 beta=108.06 gamma=90.00
Space group C2/m (No. 12)
Unique sites:
Pm (0.000, 0.000, 0.000) x2
Pm (0.166, 0.000, 0.667) x4
Pm (0.167, 0.500, 0.667) x4
Ho (0.000, 0.500, 0.000) x2
Pt (0.000, 0.259, 0.500) x4
Pt (0.160, 0.255, 0.161) x8

Summary:
N(E_F) = 15.73 states/eV per cell
M_tot = 0.00 μB/atom
energy relative to the elements = -1.11 eV/atom
volume = 273 Å³/f.u.

---

[21]
# LaMgSc2Cu4

A relaxed LaMgSc2Cu4 crystal (GGA-PBE, the Alexandria database).

Unit cell a=4.5947 b=4.5947 c=25.3846 alpha=90.00 beta=90.00 gamma=120.00
Space group R-3m (No. 166, hexagonal axes)
Unique sites:
La (0.0000, 0.0000, 0.0000) x3
Mg (0.0000, 0.0000, 0.5000) x3
Sc (0.0000, 0.0000, 0.2352) x6
Cu (0.0000, 0.0000, 0.1208) x6
Cu (0.0000, 0.0000, 0.3998) x6

Summary:
N(E_F) = 16.80 states/eV per cell
M_tot = 0.00 μB/atom
energy relative to the elements = -0.17 eV/atom
volume = 155 Å³/f.u.

---

[22]
# CaTaOs2

A relaxed CaTaOs2 crystal (GGA-PBE, the Alexandria database).

Unit cell a=2.914 b=4.198 c=6.267 alpha=90.00 beta=103.40 gamma=90.00
Space group P2/m (No. 10)
Unique sites:
Ca (0.000, 0.000, 0.000) x1
Ta (0.500, 0.000, 0.500) x1
Os (0.305, 0.500, 0.701) x2

Summary:
N(E_F) = 2.10 states/eV per cell
M_tot = 0.00 μB/atom
energy relative to the elements = 0.30 eV/atom
volume = 75 Å³/f.u.

---

[23]
# NpNbGaOs

A relaxed NpNbGaOs crystal (GGA-PBE, the Alexandria database).

Unit cell a=6.597 b=6.597 c=6.597 alpha=90.00 beta=90.00 gamma=90.00
Space group F-43m (No. 216)
Unique sites:
Np (0.000, 0.000, 0.000) x4
Nb (0.250, 0.250, 0.250) x4
Ga (0.250, 0.250, 0.750) x4
Os (0.000, 0.000, 0.500) x4

Summary:
N(E_F) = 35.76 states/eV per cell
M_tot = 1.00 μB/atom
energy relative to the elements = 0.27 eV/atom
volume = 72 Å³/f.u.

---

[24]
# TbHfTlAg

A relaxed TbHfTlAg crystal (GGA-PBE, the Alexandria database).

Unit cell a=7.213 b=7.213 c=7.213 alpha=90.00 beta=90.00 gamma=90.00
Space group F-43m (No. 216)
Unique sites:
Tb (0.000, 0.000, 0.000) x4
Hf (0.000, 0.000, 0.500) x4
Tl (0.250, 0.250, 0.250) x4
Ag (0.250, 0.250, 0.750) x4

Summary:
N(E_F) = 9.72 states/eV per cell
M_tot = 0.22 μB/atom
energy relative to the elements = -0.04 eV/atom
volume = 94 Å³/f.u.

---

[25]
# BaIn3Ga2

A relaxed BaIn3Ga2 crystal (GGA-PBE, the Alexandria database).

Unit cell a=18.073 b=4.783 c=7.863 alpha=90.00 beta=100.37 gamma=90.00
Space group C2/m (No. 12)
Unique sites:
Ba (0.117, 0.000, 0.190) x4
In (0.059, 0.000, 0.669) x4
In (0.155, 0.500, 0.524) x4
In (0.192, 0.500, 0.925) x4
Ga (0.031, 0.500, 0.859) x4
Ga (0.228, 0.000, 0.710) x4

Summary:
N(E_F) = 6.89 states/eV per cell
M_tot = 0.00 μB/atom
energy relative to the elements = -0.25 eV/atom
volume = 167 Å³/f.u.